K3Hg9Pb2 after structural relaxation. Source: the Alexandria database, functional PBE.

Its magnetization is 0.000 Bohr magnetons per cell. The density of states at the Fermi level is 5.68 states/eV/f.u. The calculation puts the calculated volume at 31.07 Å³ per atom. As for the crystal system: orthorhombic. For the density, the calculation gives 8.92 g/cm³. As for the formation energy: -0.18 eV/atom.

The space group is Immm (No. 71) and the conventional cell measures 5.3912, 10.1517 and 15.8945 Å, with angles of 90.00, 90.00 and 90.00 degrees. The asymmetric unit holds K at (0.0000, 0.0000, 0.0000), K at (0.0000, 0.0000, 0.2844), Hg at (0.0000, 0.2957, 0.1448), Hg at (0.0000, 0.3522, 0.3364), Hg at (0.0000, 0.5000, 0.0000) and Pb at (0.0000, 0.1737, 0.5000).

PrMgCu2 after structural relaxation. Source: the Alexandria database, functional PBE.

Its magnetization is 0.000 Bohr magnetons per cell. The density of states at the Fermi level is 2.83 states/eV/f.u. The calculation puts the calculated volume at 20.14 Å³ per atom. As for the crystal system: orthorhombic. For the density, the calculation gives 6.02 g/cm³. As for the formation energy: -0.16 eV/atom.

The space group is Pnma (No. 62) and the conventional cell measures 7.3192, 4.4418 and 9.9125 Å, with angles of 90.00, 90.00 and 90.00 degrees. The asymmetric unit holds Pr at (0.1922, 0.2500, 0.1737), Mg at (0.0407, 0.7500, 0.3991), Cu at (0.0898, 0.2500, 0.8695) and Cu at (0.2113, 0.7500, 0.9645).

Ce3Tl5Te8 after structural relaxation. Source: the Alexandria database, functional PBE.

Its magnetization is 3.162 Bohr magnetons per cell. For the formation energy from raw total energies, the calculation gives -0.834 eV per atom. The density of states at the Fermi level is 12.79 states/eV/f.u. The calculation puts the calculated volume at 37.22 Å³ per atom. As for the crystal system: trigonal. For the density, the calculation gives 6.87 g/cm³.

The space group is R-3m (No. 166, hexagonal axes) and the conventional cell measures 9.2820, 9.2820 and 23.9436 Å, with angles of 90.00, 90.00 and 120.00 degrees. The asymmetric unit holds Ce at (0.0000, 0.5000, 0.0000), Tl at (0.0000, 0.0000, 0.0000), Tl at (0.0000, 0.0000, 0.5000), Tl at (0.0000, 0.5000, 0.5000), Te at (0.0000, 0.0000, 0.2610) and Te at (0.0216, 0.5108, 0.2610).

Dy3Sn4Ru2 after structural relaxation. Source: the Alexandria database, functional PBE.

The value obtained for the excess energy over the best structure of this formula in the dataset is 0.00 kcal/mol of atoms. Its magnetization is 0.000 Bohr magnetons per cell. The density of states at the Fermi level is 5.28 states/eV/f.u. The calculation puts the calculated volume at 23.56 Å³ per atom. As for the crystal system: monoclinic. For the density, the calculation gives 9.12 g/cm³. As for the formation energy: -0.55 eV/atom.

The space group is C2/m (No. 12) and the conventional cell measures 11.0458, 4.7317 and 8.6301 Å, with angles of 90.00, 109.94 and 90.00 degrees. The asymmetric unit holds Dy at (0.0000, 0.0000, 0.0000), Dy at (0.1319, 0.5000, 0.6835), Sn at (0.0859, 0.0000, 0.3939), Sn at (0.2088, 0.5000, 0.0790) and Ru at (0.1784, 0.5000, 0.3680).

CaSmTm2 after structural relaxation. Source: the Alexandria database, functional PBE.

The value obtained for the excess energy over the best structure of this formula in the dataset is 0.00 kcal/mol of atoms. Its magnetization is 0.001 Bohr magnetons per cell. The density of states at the Fermi level is 6.11 states/eV/f.u. The calculation puts the calculated volume at 33.21 Å³ per atom. As for the crystal system: trigonal. For the density, the calculation gives 6.60 g/cm³. As for the formation energy: 0.07 eV/atom.

The space group is R3m (No. 160, hexagonal axes) and the conventional cell measures 3.5834, 3.5834 and 35.8411 Å, with angles of 90.00, 90.00 and 120.00 degrees. The asymmetric unit holds Ca at (0.0000, 0.0000, 0.0000), Sm at (0.0000, 0.0000, 0.8343), Tm at (0.0000, 0.0000, 0.2463) and Tm at (0.0000, 0.0000, 0.4213).

BaNaAcHg after structural relaxation. Source: the Alexandria database, functional PBE.

Its magnetization is 0.000 Bohr magnetons per cell. The density of states at the Fermi level is 3.61 states/eV/f.u. The calculation puts the calculated volume at 37.79 Å³ per atom. As for the crystal system: cubic. For the density, the calculation gives 6.46 g/cm³. As for the formation energy: -0.12 eV/atom.

The space group is F-43m (No. 216) and the conventional cell measures 8.4557, 8.4557 and 8.4557 Å, with angles of 90.00, 90.00 and 90.00 degrees. The asymmetric unit holds Ba at (0.0000, 0.0000, 0.0000), Na at (0.2500, 0.2500, 0.2500), Ac at (0.0000, 0.0000, 0.5000) and Hg at (0.2500, 0.2500, 0.7500).